No. 1
A plane-wave DFT calculation with PBE was carried out for a geometry-optimized Pm6Ni2I3Br structure.

Values from the calculation:
ΔE_f (raw) = -0.8132 eV/atom
total moment = 0.00 μB/cell
energy = -56.1 eV/f.u.
crystal system = monoclinic

Cell: 7.3619 7.3619 8.1423 Å, 98.68 98.68 119.96°
With the nearest neighbours (Å) after each atom.
Positions (direct):
Pm 0.0669 0.4359 0.8119  2 Ni 2.74-2.75
Pm 0.1935 0.1935 0.1861  2 Ni 2.75, 1 Br 3.08
Pm 0.4359 0.0669 0.8119  2 Ni 2.74-2.75
Pm 0.5641 0.9331 0.1881  2 Ni 2.74-2.75
Pm 0.8065 0.8065 0.8139  2 Ni 2.75, 1 Br 3.08
Pm 0.9331 0.5641 0.1881  2 Ni 2.74-2.75
Ni 0.1672 0.8328 0.0000  6 Pm 2.74-2.75
Ni 0.8328 0.1672 0.0000  6 Pm 2.74-2.75
I 0.0000 0.0000 0.5000  6 Pm 3.28-3.55
I 0.3410 0.6590 0.5000  6 Pm 3.32-3.57
I 0.6590 0.3410 0.5000  6 Pm 3.32-3.57
Br 0.5000 0.5000 0.0000  6 Pm 3.08-3.09

No. 2
A plane-wave DFT calculation with PBE was carried out for a geometry-optimized Pr4NiI2Br structure.

Values from the calculation:
ΔE_f (raw) = -0.8309 eV/atom
total moment = 0.00 μB/cell
energy = -36.3 eV/f.u.
crystal system = monoclinic

Cell: 7.6476 4.1783 8.2292 Å, 90.00 107.01 90.00°
With the nearest neighbours (Å) after each atom.
Positions (direct):
Pr 0.2012 0.0000 0.1923  2 Ni 2.79
Pr 0.2399 0.5000 0.7950  1 Ni 2.83, 2 Br 3.03
Pr 0.7601 0.5000 0.2050  1 Ni 2.83, 2 Br 3.03
Pr 0.7988 0.0000 0.8077  2 Ni 2.79
Ni 0.0000 0.5000 0.0000  6 Pr 2.79-2.83
I 0.0000 0.0000 0.5000  6 Pr 3.32-3.33
I 0.5000 0.5000 0.5000  6 Pr 3.55-3.56
Br 0.5000 0.0000 0.0000  6 Pr 3.03-3.14

No. 3
A plane-wave DFT calculation with PBE was carried out for a geometry-optimized Rb2NiI6Br structure.

Values from the calculation:
ΔE_f (raw) = -0.5894 eV/atom
total moment = 0.00 μB/cell
energy = -24.6 eV/f.u.
crystal system = tetragonal

Cell: 8.4059 8.4059 8.4059 Å, 122.19 122.19 86.24°
With the nearest neighbours (Å) after each atom.
Positions (direct):
Rb 0.2500 0.7500 0.5000  12 I 4.09-4.21
Rb 0.7500 0.2500 0.5000  12 I 4.09-4.21
Ni 0.0000 0.0000 0.0000  6 I 2.58-2.69
I 0.2104 0.2104 0.0000  1 Ni 2.58
I 0.2338 0.2338 0.4677  1 Ni 2.69
I 0.2338 0.7662 0.0000  1 Ni 2.69
I 0.7662 0.2338 0.0000  1 Ni 2.69
I 0.7662 0.7662 0.5323  1 Ni 2.69
I 0.7896 0.7896 0.0000  1 Ni 2.58
Br 0.5000 0.5000 0.0000  4 I 3.06

No. 4
A plane-wave DFT calculation with PBE was carried out for a geometry-optimized Ni2RuIBr structure.

Values from the calculation:
ΔE_f (raw) = 1.1181 eV/atom
total moment = 0.00 μB/cell
energy = -18.5 eV/f.u.
crystal system = tetragonal

Cell: 4.4398 4.4398 4.8932 Å, 90.00 90.00 90.00°
With the nearest neighbours (Å) after each atom.
Positions (direct):
Ni 0.0000 0.5000 0.0000  2 Br 2.22
Ni 0.5000 0.0000 0.0000  2 Br 2.22
Ru 0.0000 0.0000 0.5000  2 Br 2.45
I 0.5000 0.5000 0.5000  4 Ru 3.14, 8 Ni 3.30
Br 0.0000 0.0000 0.0000  4 Ni 2.22, 2 Ru 2.45

No. 5
A plane-wave DFT calculation with PBE was carried out for a geometry-optimized NiSb2IBr structure.

Values from the calculation:
ΔE_f (raw) = 1.3841 eV/atom
energy above the lowest structure with this stoichiometry = 1161.2 meV per atom
total moment = 1.27 μB/cell
energy = -10.3 eV/f.u.
crystal system = tetragonal

Cell: 5.5823 5.5823 5.6435 Å, 90.00 90.00 90.00°
With the nearest neighbours (Å) after each atom.
Positions (direct):
Ni 0.0000 0.0000 0.0000  4 I 3.95, 8 Sb 3.97
Sb 0.0000 0.5000 0.5000  2 Br 2.79
Sb 0.5000 0.0000 0.5000  2 Br 2.79
I 0.5000 0.5000 0.0000  2 Br 2.82
Br 0.5000 0.5000 0.5000  4 Sb 2.79, 2 I 2.82

No. 6
A plane-wave DFT calculation with PBE was carried out for a geometry-optimized NiSb2IBr structure.

Values from the calculation:
ΔE_f (raw) = 0.2229 eV/atom
energy above the lowest structure with this stoichiometry = 0.0 meV per atom
total moment = 0.00 μB/cell
energy = -16.1 eV/f.u.
crystal system = tetragonal

Cell: 5.0893 5.0893 5.2595 Å, 90.00 90.00 90.00°
With the nearest neighbours (Å) after each atom.
Positions (direct):
Ni 0.0000 0.0000 0.0000  4 Sb 2.54, 2 I 2.63
Sb 0.0000 0.5000 0.0000  2 Ni 2.54
Sb 0.5000 0.0000 0.0000  2 Ni 2.54
I 0.0000 0.0000 0.5000  2 Ni 2.63
Br 0.5000 0.5000 0.5000  4 I 3.60, 8 Sb 3.66

No. 7
A plane-wave DFT calculation with PBE was carried out for a geometry-optimized NiSe2IBr structure.

Values from the calculation:
ΔE_f (raw) = 1.1468 eV/atom
energy above the lowest structure with this stoichiometry = 865.3 meV per atom
total moment = 1.30 μB/cell
energy = -10.2 eV/f.u.
crystal system = tetragonal

Cell: 5.4042 5.4042 5.6804 Å, 90.00 90.00 90.00°
With the nearest neighbours (Å) after each atom.
Positions (direct):
Ni 0.0000 0.0000 0.0000  4 Br 3.82, 8 Se 3.92
Se 0.0000 0.5000 0.5000  2 I 2.70
Se 0.5000 0.0000 0.5000  2 I 2.70
I 0.5000 0.5000 0.5000  4 Se 2.70, 2 Br 2.84
Br 0.5000 0.5000 0.0000  2 I 2.84

No. 8
A plane-wave DFT calculation with PBE was carried out for a geometry-optimized NiSe2IBr structure.

Values from the calculation:
ΔE_f (raw) = 0.2814 eV/atom
energy above the lowest structure with this stoichiometry = 0.0 meV per atom
total moment = 0.00 μB/cell
energy = -14.6 eV/f.u.
crystal system = tetragonal

Cell: 4.8650 4.8650 4.8383 Å, 90.00 90.00 90.00°
With the nearest neighbours (Å) after each atom.
Positions (direct):
Ni 0.0000 0.0000 0.0000  2 Br 2.42, 4 Se 2.43
Se 0.0000 0.5000 0.0000  2 Ni 2.43
Se 0.5000 0.0000 0.0000  2 Ni 2.43
I 0.5000 0.5000 0.5000  8 Se 3.43, 4 Br 3.44
Br 0.0000 0.0000 0.5000  2 Ni 2.42